The following is a DFT calculation (PBE) of an optimized crystal structure of TcOsSeN2.

abc: 3.793 3.793 5.502
angles: 90.00 90.00 90.00
Space group P4/mmm (No. 123)
Asymmetric unit:
Tc  0.000  0.000  0.000 [1 per cell]
Os  0.500  0.500  0.500 [1 per cell]
Se  0.500  0.500  0.000 [1 per cell]
N  0.000  0.500  0.500 [2 per cell]

Computed properties:
For the theoretical density, the calculation gives 8.289 g cm⁻³. The spin magnetization is 0.80 μB/atom. The final energy comes out at -7.32 eV per atom.

=====

The following is a DFT calculation (PBE) of an optimized crystal structure of AcGdMgPt.

abc: 7.564 7.564 7.564
angles: 90.00 90.00 90.00
Space group F-43m (No. 216)
Asymmetric unit:
Ac  0.000  0.000  0.000 [4 per cell]
Gd  0.000  0.000  0.500 [4 per cell]
Mg  0.250  0.250  0.750 [4 per cell]
Pt  0.250  0.250  0.250 [4 per cell]

Computed properties:
For the theoretical density, the calculation gives 9.265 g cm⁻³. The spin magnetization is 1.79 μB/atom. The final energy comes out at -6.92 eV per atom.

=====

The following is a DFT calculation (PBE) of an optimized crystal structure of Sr4YTe5.

abc: 10.401 10.401 6.583
angles: 90.00 90.00 90.00
Space group I4/m (No. 87)
Asymmetric unit:
Sr  0.095  0.699  0.000 [8 per cell]
Y  0.000  0.000  0.500 [2 per cell]
Te  0.000  0.000  0.000 [2 per cell]
Te  0.096  0.713  0.500 [8 per cell]

Computed properties:
For the theoretical density, the calculation gives 5.024 g cm⁻³. The spin magnetization is 0.00 μB/atom. The final energy comes out at -4.52 eV per atom.

=====

The following is a DFT calculation (PBE) of an optimized crystal structure of Rb3Th3MnS8.

abc: 8.1789 8.1789 23.5721
angles: 90.00 90.00 120.00
Space group R-3m (No. 166, hexagonal axes)
Asymmetric unit:
Rb  0.0000  0.5000  0.0000 [9 per cell]
Th  0.0000  0.5000  0.5000 [9 per cell]
Mn  0.0000  0.0000  0.5000 [3 per cell]
S  0.0000  0.0000  0.2348 [6 per cell]
S  0.0098  0.5049  0.2280 [18 per cell]

Computed properties:
For the theoretical density, the calculation gives 4.611 g cm⁻³. The spin magnetization is 0.30 μB/atom. The final energy comes out at -6.03 eV per atom.

=====

The following is a DFT calculation (PBE) of an optimized crystal structure of NaZrIn2.

abc: 5.411 5.411 3.200
angles: 90.00 90.00 90.00
Space group P4/mmm (No. 123)
Asymmetric unit:
Na  0.000  0.000  0.000 [1 per cell]
Zr  0.500  0.500  0.000 [1 per cell]
In  0.000  0.500  0.500 [2 per cell]

Computed properties:
For the theoretical density, the calculation gives 6.094 g cm⁻³. The spin magnetization is 0.03 μB/atom. The final energy comes out at -3.99 eV per atom.

=====

The following is a DFT calculation (PBE) of an optimized crystal structure of Pm2Er3Tm6Th.

abc: 6.128 10.601 11.650
angles: 90.00 100.09 90.00
Space group C2/m (No. 12)
Asymmetric unit:
Pm  0.000  0.167  0.000 [4 per cell]
Er  0.000  0.000  0.500 [2 per cell]
Er  0.000  0.333  0.500 [4 per cell]
Tm  0.245  0.500  0.748 [4 per cell]
Tm  0.250  0.165  0.748 [8 per cell]
Th  0.000  0.500  0.000 [2 per cell]

Computed properties:
For the theoretical density, the calculation gives 9.081 g cm⁻³. The spin magnetization is 0.00 μB/atom. The final energy comes out at -4.75 eV per atom.

=====

The following is a DFT calculation (PBE) of an optimized crystal structure of CdCu2Hg.

abc: 6.474 6.474 6.474
angles: 90.00 90.00 90.00
Space group F-43m (No. 216)
Asymmetric unit:
Cd  0.000  0.000  0.000 [4 per cell]
Cu  0.000  0.000  0.500 [4 per cell]
Cu  0.250  0.250  0.750 [4 per cell]
Hg  0.250  0.250  0.250 [4 per cell]

Computed properties:
For the theoretical density, the calculation gives 10.773 g cm⁻³. The spin magnetization is 0.00 μB/atom. The final energy comes out at -2.16 eV per atom.

=====

The following is a DFT calculation (PBE) of an optimized crystal structure of Ca17Mg11Al.

abc: 12.444 16.865 10.495
angles: 90.00 119.65 90.00
Space group Cm (No. 8)
Asymmetric unit:
Ca  0.000  0.000  0.000 [2 per cell]
Ca  0.003  0.373  0.633 [4 per cell]
Ca  0.006  0.303  0.308 [4 per cell]
Ca  0.014  0.000  0.647 [2 per cell]
Ca  0.055  0.380  0.012 [4 per cell]
Ca  0.128  0.500  0.359 [2 per cell]
Ca  0.224  0.206  0.672 [4 per cell]
Ca  0.305  0.000  0.305 [2 per cell]
Ca  0.313  0.000  0.705 [2 per cell]
Ca  0.331  0.322  0.009 [4 per cell]
Ca  0.344  0.329  0.429 [4 per cell]
Mg  0.023  0.194  0.826 [4 per cell]
Mg  0.079  0.094  0.360 [4 per cell]
Mg  0.173  0.188  0.170 [4 per cell]
Mg  0.270  0.094  0.985 [4 per cell]
Mg  0.279  0.409  0.687 [4 per cell]
Mg  0.327  0.500  0.207 [2 per cell]
Al  0.192  0.500  0.877 [2 per cell]

Computed properties:
For the theoretical density, the calculation gives 1.693 g cm⁻³. The spin magnetization is 0.00 μB/atom. The final energy comes out at -1.95 eV per atom.

=====

The following is a DFT calculation (PBE) of an optimized crystal structure of Er2Tm3In4.

abc: 6.899 15.543 9.542
angles: 90.00 90.00 90.00
Space group Cmce (No. 64)
Asymmetric unit:
Er  0.000  0.108  0.047 [8 per cell]
Tm  0.000  0.000  0.500 [4 per cell]
Tm  0.250  0.214  0.750 [8 per cell]
In  0.000  0.193  0.472 [8 per cell]
In  0.250  0.013  0.750 [8 per cell]

Computed properties:
For the theoretical density, the calculation gives 8.442 g cm⁻³. The spin magnetization is 0.00 μB/atom. The final energy comes out at -3.95 eV per atom.

=====

The following is a DFT calculation (PBE) of an optimized crystal structure of TbYPb.

abc: 5.3031 5.3031 3.7540
angles: 90.00 90.00 120.00
Space group P3m1 (No. 156)
Asymmetric unit:
Tb  0.0000  0.0000  0.0000 [1 per cell]
Y  0.3333  0.6667  0.5351 [1 per cell]
Pb  0.6667  0.3333  0.2727 [1 per cell]

Computed properties:
For the theoretical density, the calculation gives 8.264 g cm⁻³. The spin magnetization is 0.00 μB/atom. The final energy comes out at -5.15 eV per atom.

=====

The following is a DFT calculation (PBE) of an optimized crystal structure of AcEuBiSb.

abc: 8.157 8.157 8.157
angles: 90.00 90.00 90.00
Space group F-43m (No. 216)
Asymmetric unit:
Ac  0.000  0.000  0.000 [4 per cell]
Eu  0.000  0.000  0.500 [4 per cell]
Bi  0.250  0.250  0.750 [4 per cell]
Sb  0.250  0.250  0.250 [4 per cell]

Computed properties:
For the theoretical density, the calculation gives 8.685 g cm⁻³. The spin magnetization is 1.73 μB/atom. The final energy comes out at -6.43 eV per atom.

=====

The following is a DFT calculation (PBE) of an optimized crystal structure of VOsBr.

abc: 13.181 2.998 5.194
angles: 90.00 90.00 90.00
Space group Amm2 (No. 38)
Asymmetric unit:
V  0.000  0.000  0.000 [2 per cell]
V  0.500  0.000  0.008 [2 per cell]
Os  0.138  0.000  0.333 [4 per cell]
Br  0.362  0.000  0.675 [4 per cell]

Computed properties:
For the theoretical density, the calculation gives 10.389 g cm⁻³. The spin magnetization is 0.00 μB/atom. The final energy comes out at -6.99 eV per atom.

=====

The following is a DFT calculation (PBE) of an optimized crystal structure of MnFe2Br.

abc: 3.204 4.184 4.392
angles: 90.00 90.00 90.00
Space group Pmmm (No. 47)
Asymmetric unit:
Mn  0.000  0.000  0.000 [1 per cell]
Fe  0.000  0.500  0.500 [1 per cell]
Fe  0.500  0.000  0.500 [1 per cell]
Br  0.500  0.500  0.000 [1 per cell]

Computed properties:
For the theoretical density, the calculation gives 6.955 g cm⁻³. The spin magnetization is 2.30 μB/atom. The final energy comes out at -6.28 eV per atom.

=====

The following is a DFT calculation (PBE) of an optimized crystal structure of FeSiAs2.

abc: 2.751 2.751 8.621
angles: 90.00 90.00 90.00
Space group P4mm (No. 99)
Asymmetric unit:
Fe  0.000  0.000  0.000 [1 per cell]
Si  0.500  0.500  0.167 [1 per cell]
As  0.000  0.000  0.417 [1 per cell]
As  0.500  0.500  0.816 [1 per cell]

Computed properties:
For the theoretical density, the calculation gives 5.949 g cm⁻³. The spin magnetization is 0.00 μB/atom. The final energy comes out at -5.66 eV per atom.

=====

The following is a DFT calculation (PBE) of an optimized crystal structure of Ce3Mg2Au3.

abc: 8.7481 8.7481 5.8984
angles: 90.00 90.00 120.00
Space group P6_3/mcm (No. 193)
Asymmetric unit:
Ce  0.0000  0.2636  0.2500 [6 per cell]
Mg  0.3333  0.6667  0.0000 [4 per cell]
Au  0.0000  0.3957  0.7500 [6 per cell]

Computed properties:
For the theoretical density, the calculation gives 9.004 g cm⁻³. The spin magnetization is 0.34 μB/atom. The final energy comes out at -4.38 eV per atom.

=====

The following is a DFT calculation (PBE) of an optimized crystal structure of NaGaBr2.

abc: 6.175 6.219 6.221
angles: 90.00 90.00 90.00
Space group Amm2 (No. 38)
Asymmetric unit:
Na  0.000  0.000  0.000 [2 per cell]
Ga  0.500  0.000  0.498 [2 per cell]
Br  0.000  0.000  0.500 [2 per cell]
Br  0.500  0.000  0.998 [2 per cell]

Computed properties:
For the theoretical density, the calculation gives 3.510 g cm⁻³. The spin magnetization is 0.00 μB/atom. The final energy comes out at -2.99 eV per atom.

=====

The following is a DFT calculation (PBE) of an optimized crystal structure of Er3Zn2Pd2.

abc: 3.860 21.604 3.607
angles: 90.00 90.00 90.00
Space group Cmmm (No. 65)
Asymmetric unit:
Er  0.000  0.000  0.000 [2 per cell]
Er  0.000  0.162  0.000 [4 per cell]
Zn  0.000  0.421  0.500 [4 per cell]
Pd  0.000  0.294  0.500 [4 per cell]

Computed properties:
For the theoretical density, the calculation gives 9.335 g cm⁻³. The spin magnetization is 0.00 μB/atom. The final energy comes out at -4.41 eV per atom.

=====

The following is a DFT calculation (PBE) of an optimized crystal structure of Li3Ac2Sb4Pt.

abc: 4.725 4.725 10.818
angles: 90.00 90.00 90.00
Space group P-4m2 (No. 115)
Asymmetric unit:
Li  0.000  0.000  0.000 [1 per cell]
Li  0.000  0.500  0.625 [2 per cell]
Ac  0.000  0.500  0.237 [2 per cell]
Sb  0.000  0.000  0.500 [1 per cell]
Sb  0.000  0.500  0.867 [2 per cell]
Sb  0.500  0.500  0.500 [1 per cell]
Pt  0.500  0.500  0.000 [1 per cell]

Computed properties:
For the theoretical density, the calculation gives 7.955 g cm⁻³. The spin magnetization is 0.00 μB/atom. The final energy comes out at -4.48 eV per atom.

=====

The following is a DFT calculation (PBE) of an optimized crystal structure of Rb3Dy3TeS8.

abc: 8.0544 8.0544 23.4575
angles: 90.00 90.00 120.00
Space group R-3m (No. 166, hexagonal axes)
Asymmetric unit:
Rb  0.0000  0.5000  0.0000 [9 per cell]
Dy  0.0000  0.5000  0.5000 [9 per cell]
Te  0.0000  0.0000  0.5000 [3 per cell]
S  0.0000  0.0000  0.2299 [6 per cell]
S  0.0076  0.5038  0.2290 [18 per cell]

Computed properties:
For the theoretical density, the calculation gives 4.264 g cm⁻³. The spin magnetization is 0.00 μB/atom. The final energy comes out at -5.02 eV per atom.

=====

The following is a DFT calculation (PBE) of an optimized crystal structure of ZrNb2PbF.

abc: 5.353 5.353 4.313
angles: 90.00 90.00 90.00
Space group P4/mmm (No. 123)
Asymmetric unit:
Zr  0.000  0.000  0.000 [1 per cell]
Nb  0.000  0.500  0.500 [2 per cell]
Pb  0.500  0.500  0.500 [1 per cell]
F  0.500  0.500  0.000 [1 per cell]

Computed properties:
For the theoretical density, the calculation gives 6.761 g cm⁻³. The spin magnetization is 0.00 μB/atom. The final energy comes out at -5.90 eV per atom.

=====

The following is a DFT calculation (PBE) of an optimized crystal structure of RbTl2NiSn.

abc: 5.371 5.371 5.119
angles: 90.00 90.00 90.00
Space group P4/mmm (No. 123)
Asymmetric unit:
Rb  0.000  0.000  0.000 [1 per cell]
Tl  0.000  0.500  0.500 [2 per cell]
Ni  0.500  0.500  0.500 [1 per cell]
Sn  0.500  0.500  0.000 [1 per cell]

Computed properties:
For the theoretical density, the calculation gives 7.553 g cm⁻³. The spin magnetization is 0.00 μB/atom. The final energy comes out at -3.05 eV per atom.

=====

The following is a DFT calculation (PBE) of an optimized crystal structure of CsKCdBr4.

abc: 7.897 7.835 9.871
angles: 90.00 107.78 90.00
Space group P2_1/m (No. 11)
Asymmetric unit:
Cs  0.241  0.250  0.439 [2 per cell]
K  0.276  0.250  0.943 [2 per cell]
Cd  0.270  0.750  0.181 [2 per cell]
Br  0.063  0.750  0.918 [2 per cell]
Br  0.081  0.750  0.359 [2 per cell]
Br  0.499  0.006  0.233 [4 per cell]

Computed properties:
For the theoretical density, the calculation gives 3.449 g cm⁻³. The spin magnetization is 0.00 μB/atom. The final energy comes out at -2.77 eV per atom.

=====

The following is a DFT calculation (PBE) of an optimized crystal structure of Sc2Pd5Pb2.

abc: 14.027 6.775 7.556
angles: 90.00 90.00 90.00
Space group Ima2 (No. 46)
Asymmetric unit:
Sc  0.130  0.033  0.000 [8 per cell]
Pd  0.051  0.178  0.302 [8 per cell]
Pd  0.148  0.690  0.809 [8 per cell]
Pd  0.250  0.181  0.286 [4 per cell]
Pb  0.000  0.000  0.618 [4 per cell]
Pb  0.250  0.529  0.106 [4 per cell]

Computed properties:
For the theoretical density, the calculation gives 9.586 g cm⁻³. The spin magnetization is 0.00 μB/atom. The final energy comes out at -5.56 eV per atom.